Y2PuThAs4 | PBE | relaxed

It has space group P2/m (No. 10), with a = 7.209 Å, b = 4.176 Å, c = 7.219 Å, α = 90.00°, β = 109.59° and γ = 90.00°. The inequivalent atoms are Y at (0.000, 0.000, 0.000), Y at (0.000, 0.500, 0.500), Pu at (0.500, 0.000, 0.500), Th at (0.500, 0.500, 0.000), As at (0.245, 0.000, 0.746) and As at (0.248, 0.500, 0.252).

As for the energy of formation from the pure elements: -1399 meV per atom. The total energy is -64.5 eV/cell. The density of states at the Fermi level comes out at 13.895 states/eV per cell. As for the crystal system: monoclinic.